No. 1
A plane-wave DFT calculation with PBE was carried out for an optimized crystal structure of TlFeCoW.

Geometry as POSCAR:
```
TlFeCoW
1.0
0.000 3.118 3.118
3.118 0.000 3.118
3.118 3.118 0.000
Tl Fe Co W
1 1 1 1
Direct
0.000 0.000 0.000
0.500 0.500 0.500
0.250 0.250 0.250
0.750 0.750 0.750
```

Calculated values
* offset from the most stable computed form: 227.4 meV per atom

=====

No. 2
A plane-wave DFT calculation with PBE was carried out for an optimized crystal structure of TlFeCoW.

Geometry as POSCAR:
```
TlFeCoW
1.0
0.000 3.074 3.074
3.074 0.000 3.074
3.074 3.074 0.000
Tl Fe Co W
1 1 1 1
Direct
0.000 0.000 0.000
0.750 0.750 0.750
0.250 0.250 0.250
0.500 0.500 0.500
```

Calculated values
* offset from the most stable computed form: 0.0 meV per atom

=====

No. 3
A plane-wave DFT calculation with PBE was carried out for an optimized crystal structure of TmFe2Co.

Geometry as POSCAR:
```
TmFe2Co
1.0
2.490 1.438 8.079
-2.490 1.438 8.079
0.000 -2.875 8.079
Tm Fe Co
3 6 3
Direct
0.000 0.000 0.000
0.142 0.142 0.142
0.858 0.858 0.858
0.081 0.583 0.583
0.417 0.417 0.919
0.417 0.919 0.417
0.583 0.081 0.583
0.583 0.583 0.081
0.919 0.417 0.417
0.333 0.333 0.333
0.500 0.500 0.500
0.667 0.667 0.667
```

Calculated values
* formation energy from the elements: -156 meV per atom

=====

No. 4
A plane-wave DFT calculation with PBE was carried out for an optimized crystal structure of Tm3Fe8Co.

Geometry as POSCAR:
```
Tm3Fe8Co
1.0
2.498 1.442 8.024
-2.498 1.442 8.024
0.000 -2.884 8.024
Tm Fe Co
3 8 1
Direct
0.000 0.000 0.000
0.142 0.142 0.142
0.858 0.858 0.858
0.081 0.582 0.582
0.333 0.333 0.333
0.418 0.418 0.919
0.418 0.919 0.418
0.582 0.081 0.582
0.582 0.582 0.081
0.667 0.667 0.667
0.919 0.418 0.418
0.500 0.500 0.500
```

Calculated values
* formation energy from the elements: -137 meV per atom

=====

No. 5
A plane-wave DFT calculation with PBE was carried out for an optimized crystal structure of Tm3FeCo8.

Geometry as POSCAR:
```
Tm3FeCo8
1.0
2.475 1.429 7.951
-2.475 1.429 7.951
0.000 -2.858 7.951
Tm Fe Co
3 1 8
Direct
0.000 0.000 0.000
0.139 0.139 0.139
0.861 0.861 0.861
0.500 0.500 0.500
0.078 0.584 0.584
0.335 0.335 0.335
0.416 0.416 0.922
0.416 0.922 0.416
0.584 0.078 0.584
0.584 0.584 0.078
0.665 0.665 0.665
0.922 0.416 0.416
```

Calculated values
* formation energy from the elements: -215 meV per atom

=====

No. 6
A plane-wave DFT calculation with PBE was carried out for an optimized crystal structure of Tm3Fe2Co7.

Geometry as POSCAR:
```
Tm3Fe2Co7
1.0
2.486 1.435 7.905
-2.486 1.435 7.905
0.000 -2.870 7.905
Tm Fe Co
3 2 7
Direct
0.000 0.000 0.000
0.140 0.140 0.140
0.860 0.860 0.860
0.335 0.335 0.335
0.665 0.665 0.665
0.078 0.584 0.584
0.416 0.416 0.922
0.416 0.922 0.416
0.500 0.500 0.500
0.584 0.078 0.584
0.584 0.584 0.078
0.922 0.416 0.416
```

Calculated values
* formation energy from the elements: -218 meV per atom

=====

No. 7
A plane-wave DFT calculation with PBE was carried out for an optimized crystal structure of TmFeCo2.

Geometry as POSCAR:
```
TmFeCo2
1.0
2.499 1.443 7.867
-2.499 1.443 7.867
0.000 -2.886 7.867
Tm Fe Co
3 3 6
Direct
0.000 0.000 0.000
0.140 0.140 0.140
0.860 0.860 0.860
0.335 0.335 0.335
0.500 0.500 0.500
0.665 0.665 0.665
0.079 0.584 0.584
0.416 0.416 0.921
0.416 0.921 0.416
0.584 0.079 0.584
0.584 0.584 0.079
0.921 0.416 0.416
```

Calculated values
* formation energy from the elements: -218 meV per atom

=====

No. 8
A plane-wave DFT calculation with PBE was carried out for an optimized crystal structure of YTm2Fe6Co3.

Geometry as POSCAR:
```
YTm2Fe6Co3
1.0
2.513 1.451 8.070
-2.513 1.451 8.070
0.000 -2.901 8.070
Y Tm Fe Co
1 2 6 3
Direct
0.000 0.000 0.000
0.142 0.142 0.142
0.858 0.858 0.858
0.081 0.583 0.583
0.417 0.417 0.919
0.417 0.919 0.417
0.583 0.081 0.583
0.583 0.583 0.081
0.919 0.417 0.417
0.332 0.332 0.332
0.500 0.500 0.500
0.668 0.668 0.668
```

Calculated values
* formation energy from the elements: -148 meV per atom

=====

No. 9
A plane-wave DFT calculation with PBE was carried out for an optimized crystal structure of Y2TmFe8Co.

Geometry as POSCAR:
```
Y2TmFe8Co
1.0
2.528 1.459 8.084
-2.528 1.459 8.084
0.000 -2.919 8.084
Y Tm Fe Co
2 1 8 1
Direct
0.142 0.142 0.142
0.858 0.858 0.858
0.000 0.000 0.000
0.082 0.581 0.581
0.333 0.333 0.333
0.419 0.419 0.918
0.419 0.918 0.419
0.581 0.082 0.581
0.581 0.581 0.082
0.667 0.667 0.667
0.918 0.419 0.419
0.500 0.500 0.500
```

Calculated values
* formation energy from the elements: -102 meV per atom

=====

No. 10
A plane-wave DFT calculation with PBE was carried out for an optimized crystal structure of YTm2Fe8Co.

Geometry as POSCAR:
```
YTm2Fe8Co
1.0
2.520 1.455 8.028
-2.520 1.455 8.028
0.000 -2.910 8.028
Y Tm Fe Co
1 2 8 1
Direct
0.000 0.000 0.000
0.142 0.142 0.142
0.858 0.858 0.858
0.082 0.583 0.583
0.333 0.333 0.333
0.417 0.417 0.918
0.417 0.918 0.417
0.583 0.082 0.583
0.583 0.583 0.082
0.667 0.667 0.667
0.918 0.417 0.417
0.500 0.500 0.500
```

Calculated values
* formation energy from the elements: -129 meV per atom

=====

No. 11
A plane-wave DFT calculation with PBE was carried out for an optimized crystal structure of YTm2Fe3Co6.

Geometry as POSCAR:
```
YTm2Fe3Co6
1.0
2.527 1.459 7.827
-2.527 1.459 7.827
0.000 -2.918 7.827
Y Tm Fe Co
1 2 3 6
Direct
0.000 0.000 0.000
0.141 0.141 0.141
0.859 0.859 0.859
0.333 0.333 0.333
0.500 0.500 0.500
0.667 0.667 0.667
0.081 0.583 0.583
0.417 0.417 0.919
0.417 0.919 0.417
0.583 0.081 0.583
0.583 0.583 0.081
0.919 0.417 0.417
```

Calculated values
* formation energy from the elements: -210 meV per atom

=====

No. 12
A plane-wave DFT calculation with PBE was carried out for an optimized crystal structure of YTm2FeCo8.

Geometry as POSCAR:
```
YTm2FeCo8
1.0
2.497 1.441 7.957
-2.497 1.441 7.957
0.000 -2.883 7.957
Y Tm Fe Co
1 2 1 8
Direct
0.000 0.000 0.000
0.140 0.140 0.140
0.860 0.860 0.860
0.500 0.500 0.500
0.079 0.584 0.584
0.334 0.334 0.334
0.416 0.416 0.921
0.416 0.921 0.416
0.584 0.079 0.584
0.584 0.584 0.079
0.666 0.666 0.666
0.921 0.416 0.416
```

Calculated values
* formation energy from the elements: -205 meV per atom

=====

Number 1: VASP energy -6.914 eV per atom, ρ 13780 kg/m3. Number 2: VASP energy -7.142 eV per atom, ρ 14372 kg/m3. Number 3: VASP energy -7.206 eV per atom, ρ 9748 kg/m3. Number 4: VASP energy -7.387 eV per atom, ρ 9697 kg/m3. Number 5: VASP energy -6.764 eV per atom, ρ 10177 kg/m3. Number 6: VASP energy -6.867 eV per atom, ρ 10119 kg/m3. Number 7: VASP energy -6.968 eV per atom, ρ 10027 kg/m3. Number 8: VASP energy -7.363 eV per atom, ρ 8832 kg/m3. Number 9: VASP energy -7.684 eV per atom, ρ 7912 kg/m3. Number 10: VASP energy -7.545 eV per atom, ρ 8764 kg/m3. Number 11: VASP energy -7.125 eV per atom, ρ 9089 kg/m3. Number 12: VASP energy -6.919 eV per atom, ρ 9221 kg/m3.